Entry 1:
# CaHfSiBr2, optimized geometry, DFT PBE
# **Formation energy without anion corrections**: 23.5 kJ/mol of atoms
# **Space group**: P4/mmm, No. 123
# **E_tot**: -3.90 eV per atom
data_CaHfSiBr2
_chemical_formula_sum 'Ca1 Hf1 Si1 Br2'
_symmetry_space_group_name_H-M 'P 1'
_symmetry_Int_Tables_number 1
_symmetry_space_group_name_Hall 'P 1'
_cell_length_a 5.313
_cell_length_b 5.417
_cell_length_c 5.313
_cell_angle_alpha 90.00
_cell_angle_beta 90.00
_cell_angle_gamma 90.00
loop_
_atom_site_label
_atom_site_type_symbol
_atom_site_fract_x
_atom_site_fract_y
_atom_site_fract_z
Ca1 Ca 0.500 0.500 0.500
Hf1 Hf 0.000 0.500 0.000
Si1 Si 0.000 0.000 0.000
Br1 Br 0.000 0.000 0.500
Br2 Br 0.500 0.000 0.000



Entry 2:
# Ca2HfSnBr, optimized geometry, DFT PBE
# **Formation energy without anion corrections**: 41.0 kJ/mol of atoms
# **Space group**: P4/mmm, No. 123
# **E_tot**: -3.50 eV per atom
data_Ca2HfSnBr
_chemical_formula_sum 'Ca2 Hf1 Sn1 Br1'
_symmetry_space_group_name_H-M 'P 1'
_symmetry_Int_Tables_number 1
_symmetry_space_group_name_Hall 'P 1'
_cell_length_a 6.136
_cell_length_b 4.971
_cell_length_c 6.136
_cell_angle_alpha 90.00
_cell_angle_beta 90.00
_cell_angle_gamma 90.00
loop_
_atom_site_label
_atom_site_type_symbol
_atom_site_fract_x
_atom_site_fract_y
_atom_site_fract_z
Ca1 Ca 0.000 0.000 0.500
Ca2 Ca 0.500 0.000 0.000
Hf1 Hf 0.000 0.000 0.000
Sn1 Sn 0.500 0.500 0.500
Br1 Br 0.000 0.500 0.000



Entry 3:
# CaHfWBr2, optimized geometry, DFT PBE
# **Formation energy without anion corrections**: 117.9 kJ/mol of atoms
# **Space group**: P4/mmm, No. 123
# **E_tot**: -4.43 eV per atom
data_CaHfWBr2
_chemical_formula_sum 'Ca1 Hf1 W1 Br2'
_symmetry_space_group_name_H-M 'P 1'
_symmetry_Int_Tables_number 1
_symmetry_space_group_name_Hall 'P 1'
_cell_length_a 5.107
_cell_length_b 7.460
_cell_length_c 5.107
_cell_angle_alpha 90.00
_cell_angle_beta 90.00
_cell_angle_gamma 90.00
loop_
_atom_site_label
_atom_site_type_symbol
_atom_site_fract_x
_atom_site_fract_y
_atom_site_fract_z
Ca1 Ca 0.000 0.000 0.000
Hf1 Hf 0.000 0.500 0.000
Br1 Br 0.000 0.000 0.500
Br2 Br 0.500 0.000 0.000
W1 W 0.500 0.500 0.500



Entry 4:
# CaHg2Br2, optimized geometry, DFT PBE
# **Formation energy without anion corrections**: -96.9 kJ/mol of atoms
# **Space group**: P4/mbm, No. 127
# **E_tot**: -2.19 eV per atom
data_CaHg2Br2
_chemical_formula_sum 'Ca2 Hg4 Br4'
_symmetry_space_group_name_H-M 'P 1'
_symmetry_Int_Tables_number 1
_symmetry_space_group_name_Hall 'P 1'
_cell_length_a 7.575
_cell_length_b 7.575
_cell_length_c 6.876
_cell_angle_alpha 90.00
_cell_angle_beta 90.00
_cell_angle_gamma 90.00
loop_
_atom_site_label
_atom_site_type_symbol
_atom_site_fract_x
_atom_site_fract_y
_atom_site_fract_z
Ca1 Ca 0.000 0.000 0.000
Ca2 Ca 0.500 0.500 0.000
Hg1 Hg 0.156 0.656 0.500
Hg2 Hg 0.656 0.844 0.500
Hg3 Hg 0.844 0.344 0.500
Hg4 Hg 0.344 0.156 0.500
Br1 Br 0.325 0.825 0.000
Br2 Br 0.825 0.675 0.000
Br3 Br 0.675 0.175 0.000
Br4 Br 0.175 0.325 0.000



Entry 5:
# Ca4HgBr8, optimized geometry, DFT PBE
# **Formation energy without anion corrections**: -180.3 kJ/mol of atoms
# **Space group**: Cm, No. 8
# **E_tot**: -3.54 eV per atom
data_Ca4HgBr8
_chemical_formula_sum 'Ca4 Hg1 Br8'
_symmetry_space_group_name_H-M 'P 1'
_symmetry_Int_Tables_number 1
_symmetry_space_group_name_Hall 'P 1'
_cell_length_a 4.329
_cell_length_b 10.574
_cell_length_c 10.972
_cell_angle_alpha 82.99
_cell_angle_beta 78.62
_cell_angle_gamma 78.19
loop_
_atom_site_label
_atom_site_type_symbol
_atom_site_fract_x
_atom_site_fract_y
_atom_site_fract_z
Ca1 Ca 0.368 0.826 0.437
Ca2 Ca 0.852 0.503 0.792
Ca3 Ca 0.179 0.501 0.141
Ca4 Ca 0.663 0.177 0.496
Hg1 Hg 0.515 0.002 0.968
Br1 Br 0.153 0.325 0.370
Br2 Br 0.556 0.657 0.231
Br3 Br 0.476 0.346 0.702
Br4 Br 0.879 0.679 0.563
Br5 Br 0.852 0.980 0.317
Br6 Br 0.227 0.650 0.896
Br7 Br 0.180 0.023 0.617
Br8 Br 0.805 0.353 0.037



Entry 6:
# CaHgBr2, optimized geometry, DFT PBE
# **Formation energy without anion corrections**: -132.5 kJ/mol of atoms
# **Space group**: Pm, No. 6
# **Energy relative to the lowest polymorph listed for this composition**: 12.6 kJ per mole of atoms
# **E_tot**: -2.79 eV per atom
data_CaHgBr2
_chemical_formula_sum 'Ca1 Hg1 Br2'
_symmetry_space_group_name_H-M 'P 1'
_symmetry_Int_Tables_number 1
_symmetry_space_group_name_Hall 'P 1'
_cell_length_a 4.548
_cell_length_b 7.483
_cell_length_c 7.479
_cell_angle_alpha 40.63
_cell_angle_beta 90.00
_cell_angle_gamma 90.00
loop_
_atom_site_label
_atom_site_type_symbol
_atom_site_fract_x
_atom_site_fract_y
_atom_site_fract_z
Ca1 Ca 0.000 0.463 0.463
Hg1 Hg 0.500 0.651 0.654
Br1 Br 0.000 0.040 0.040
Br2 Br 0.500 0.346 0.343